w:
# LiTbAg2 GGA-PBE optimized geometry
# SG: No. 123
data_LiTbAg2
_cell_length_a 3.484
_cell_length_b 3.484
_cell_length_c 6.776
_cell_angle_alpha 90.00
_cell_angle_beta 90.00
_cell_angle_gamma 90.00
_space_group_name_H-M_alt 'P 1'
_space_group_IT_number 1
loop_
_space_group_symop_operation_xyz
'x,y,z'
loop_
_atom_site_label
_atom_site_type_symbol
_atom_site_fract_x
_atom_site_fract_y
_atom_site_fract_z
Tb1 Tb 0.500 0.500 0.500
Ag1 Ag 0.000 0.000 0.786
Ag2 Ag 0.000 0.000 0.214
Li1 Li 0.500 0.500 0.000


x:
# LiTbAg2 GGA-PBE optimized geometry
# SG: No. 123
data_LiTbAg2
_cell_length_a 3.435
_cell_length_b 5.004
_cell_length_c 5.004
_cell_angle_alpha 90.00
_cell_angle_beta 90.00
_cell_angle_gamma 90.00
_space_group_name_H-M_alt 'P 1'
_space_group_IT_number 1
loop_
_space_group_symop_operation_xyz
'x,y,z'
loop_
_atom_site_label
_atom_site_type_symbol
_atom_site_fract_x
_atom_site_fract_y
_atom_site_fract_z
Tb1 Tb 0.500 0.500 0.500
Ag1 Ag 0.000 0.000 0.500
Ag2 Ag 0.000 0.500 0.000
Li1 Li 0.500 0.000 0.000


Stability, lowest: x